No. 1
! PmNpFe2O6, optimized geometry, DFT PBE with a Hubbard U; values from VASP
&SYSTEM
  ibrav = 0, nat = 10, ntyp = 4
/
ATOMIC_SPECIES
O 16.00 O.upf
Np 237.00 Np.upf
Pm 145.00 Pm.upf
Fe 55.84 Fe.upf
ATOMIC_POSITIONS angstrom
O -4.540 3.848 -5.240
O -1.092 1.366 -6.566
O -3.742 1.189 -5.023
O -3.996 2.301 -7.597
O -1.695 3.118 -3.764
O -1.970 4.569 -6.681
Np -0.415 1.581 -2.819
Pm -3.395 4.253 -8.663
Fe -2.439 2.808 -5.750
Fe -4.820 0.600 -3.267
CELL_PARAMETERS angstrom
-0.978 4.774 -2.828
0.390 0.144 -5.596
-5.057 0.540 -3.210
! - final energy (eV/atom) = -8.275
! - total magnetization (μB per atom) = 0.600
! - crystal system = triclinic
! - ρ (Mg/m³) = 7.20

***

No. 2
! PmNpFe2O8, optimized geometry, DFT PBE with a Hubbard U; values from VASP
&SYSTEM
  ibrav = 0, nat = 12, ntyp = 4
/
ATOMIC_SPECIES
O 16.00 O.upf
Pm 145.00 Pm.upf
Fe 55.84 Fe.upf
Np 237.00 Np.upf
ATOMIC_POSITIONS angstrom
O 0.259 2.076 0.875
O 3.229 3.541 0.875
O 0.002 -1.656 4.118
O -0.002 1.656 4.118
O 2.762 1.632 3.508
O 4.480 0.565 1.486
O 3.224 -1.457 3.508
O 1.506 -0.391 1.486
Pm -1.249 2.721 2.497
Fe 2.993 0.087 2.497
Fe 1.744 2.808 0.000
Np 0.000 0.000 0.000
CELL_PARAMETERS angstrom
5.986 0.174 0.000
-2.499 5.442 0.000
-1.744 -2.808 4.993
! - final energy (eV/atom) = -7.598
! - total magnetization (μB per atom) = 0.334
! - crystal system = tetragonal
! - ρ (Mg/m³) = 6.26

***

No. 3
! PrNpFe2O6, optimized geometry, DFT PBE with a Hubbard U; values from VASP
&SYSTEM
  ibrav = 0, nat = 10, ntyp = 4
/
ATOMIC_SPECIES
Pr 140.91 Pr.upf
O 16.00 O.upf
Fe 55.84 Fe.upf
Np 237.00 Np.upf
ATOMIC_POSITIONS angstrom
Pr 8.545 4.914 3.033
O 4.843 1.512 1.205
O 4.173 3.088 3.747
O 6.699 1.958 3.931
O 4.651 4.854 1.242
O 7.573 3.289 1.367
O 6.389 4.800 3.943
Fe 2.942 1.690 4.808
Fe 5.690 3.232 2.163
Np 2.836 1.630 0.261
CELL_PARAMETERS angstrom
5.670 0.031 0.068
2.863 4.865 0.027
2.904 1.623 5.036
! - final energy (eV/atom) = -8.253
! - total magnetization (μB per atom) = 0.600
! - crystal system = triclinic
! - ρ (Mg/m³) = 7.07